(1)
Computed, not measured: crystalline Ta4ZnInC2 at its relaxed geometry at the PBE level of DFT.

```
8
Lattice="3.1478 0.0000 0.0000 -1.5739 2.7260 0.0000 0.0000 0.0000 14.1032" Properties=species:S:1:pos:R:3 pbc="T T T"
Ta 0.0000 0.0000 2.2093
Ta 0.0000 0.0000 11.8939
Ta 1.5739 0.9087 4.6286
Ta 1.5739 0.9087 9.4746
Zn 1.5739 0.9087 0.0000
In 0.0000 0.0000 7.0516
C 0.0000 1.8174 3.4056
C 0.0000 1.8174 10.6976
```

Calculated values
SG: P-6m2, No. 187

=====

(2)
Computed, not measured: crystalline Zr2Ta4In3C3 at its relaxed geometry at the PBE level of DFT.

```
24
Lattice="4.8365 -2.7902 0.0000 4.8365 2.7902 0.0000 -3.2549 0.0000 14.6875" Properties=species:S:1:pos:R:3 pbc="T T T"
Zr 2.4267 2.3361 8.6860
Zr 2.3638 2.3361 13.3453
Zr 4.0542 -2.3361 1.3423
Zr 3.9913 -2.3361 6.0015
Ta 2.3884 0.4491 1.1756
Ta 2.4048 0.4997 6.1680
Ta 0.7609 -0.4491 8.5193
Ta 0.7773 -0.4997 13.5118
Ta 5.6407 0.4997 1.1758
Ta 5.6571 0.4491 6.1682
Ta 4.0133 -0.4997 8.5196
Ta 4.0297 -0.4491 13.5120
In -0.7111 0.5318 11.0379
In 0.9164 -0.5318 3.6941
In 2.3953 0.3310 11.0157
In 4.0228 -0.3310 3.6719
In 5.5016 0.5318 10.9934
In 7.1291 -0.5318 3.6497
C 0.7908 1.3951 7.3438
C 4.0078 1.3573 0.0000
C 4.0377 1.3573 7.3438
C 2.4182 -1.3951 0.0000
C 2.3803 -1.3573 7.3438
C 5.6652 -1.3573 0.0000
```

Calculated values
SG: C2/c, No. 15

=====

(3)
Computed, not measured: crystalline TbIn3C3 at its relaxed geometry at the PBE level of DFT.

```
14
Lattice="3.7451 0.0000 0.0000 -1.8726 3.2434 0.0000 0.0000 0.0000 19.1110" Properties=species:S:1:pos:R:3 pbc="T T T"
Tb 0.0000 0.0000 0.0000
Tb 0.0000 0.0000 9.5555
In 0.0000 2.1623 2.3738
In 0.0000 2.1623 7.1817
In 0.0000 2.1623 14.3333
In 1.8726 1.0811 4.7778
In 1.8726 1.0811 11.9293
In 1.8726 1.0811 16.7372
C 0.0000 2.1623 4.7778
C 0.0000 2.1623 11.0180
C 0.0000 2.1623 17.6485
C 1.8726 1.0811 1.4625
C 1.8726 1.0811 8.0930
C 1.8726 1.0811 14.3333
```

Calculated values
SG: P6_3/mmc, No. 194

=====

Record order is preserved below.
DFT total energy: -9.12; -8.88; -5.25 eV/atom